(1)
The following is a DFT calculation (GGA-PBE) of a geometry-optimized GdYCSe structure.

Structure (POSCAR):
```
GdYCSe
1.0
3.7862 0.0000 0.0000
-1.8931 3.2789 0.0000
0.0000 0.0000 13.3780
Gd Y C Se
2 2 2 2
Direct
0.3333 0.6667 0.3983
0.6667 0.3333 0.6017
0.3333 0.6667 0.0994
0.6667 0.3333 0.9006
0.0000 0.0000 0.0000
0.0000 0.0000 0.5000
0.3333 0.6667 0.7522
0.6667 0.3333 0.2478
```

Computed properties:
Electronic total energy   -7.091 eV/atom


(2)
The following is a DFT calculation (GGA-PBE) of a geometry-optimized LiNbCuSe3 structure.

Structure (POSCAR):
```
LiNbCuSe3
1.0
1.7885 -6.5090 0.0000
1.7885 6.5090 0.0000
0.0000 0.0000 9.7751
Li Nb Cu Se
2 2 2 6
Direct
0.2229 0.7771 0.7500
0.7771 0.2229 0.2500
0.0000 0.0000 0.0000
0.0000 0.0000 0.5000
0.4707 0.5293 0.2500
0.5293 0.4707 0.7500
0.0959 0.9041 0.2500
0.3571 0.6429 0.0598
0.3571 0.6429 0.4402
0.6429 0.3571 0.5598
0.6429 0.3571 0.9402
0.9041 0.0959 0.7500
```

Computed properties:
Electronic total energy   -5.038 eV/atom